Record 1
## InFeNi (PBE)

Data for crystalline InFeNi at its relaxed geometry.

Properties
The total energy comes out at -32.6 eV/cell. As for the energy above the lowest structure with this stoichiometry: 0.2 kJ per mole of atoms.

Lattice parameters (Å, degrees): 4.3560 4.3560 5.2707 90.00 90.00 120.00
Space group P6_3mc (No. 186)
One atom of each set of equivalent atoms:
In: 0.3333 0.6667 0.0000
Fe: 0.0000 0.0000 0.2489
Ni: 0.3333 0.6667 0.5011



Record 2
## Er2AuO4 (PBE)

Data for crystalline Er2AuO4 at its relaxed geometry.

Properties
The total energy comes out at -385.9 eV/cell.

Lattice parameters (Å, degrees): 9.489 9.489 9.489 90.00 90.00 90.00
Space group Fd-3m (No. 227, origin choice 2)
One atom of each set of equivalent atoms:
Er: 0.000 0.000 0.000
Au: 0.125 0.125 0.625
O: 0.015 0.015 0.235



Record 3
## Dy2Tm2Lu3Ni2Te2 (PBE)

Data for crystalline Dy2Tm2Lu3Ni2Te2 at its relaxed geometry.

Properties
The total energy comes out at -113.1 eV/cell. As for the energy above the lowest structure with this stoichiometry: 0.3 kJ per mole of atoms.

Lattice parameters (Å, degrees): 3.813 15.351 9.450 90.00 90.00 90.00
Space group Imm2 (No. 44)
One atom of each set of equivalent atoms:
Dy: 0.000 0.146 0.000
Tm: 0.000 0.185 0.647
Lu: 0.000 0.365 0.853
Lu: 0.000 0.500 0.271
Ni: 0.000 0.263 0.339
Te: 0.000 0.000 0.503
Te: 0.000 0.500 0.611



Record 4
## KErPu (PBE)

Data for crystalline KErPu at its relaxed geometry.

Properties
The total energy comes out at -64.1 eV/cell.

Lattice parameters (Å, degrees): 8.219 8.219 8.219 90.00 90.00 90.00
Space group F-43m (No. 216)
One atom of each set of equivalent atoms:
K: 0.000 0.000 0.000
Er: 0.000 0.000 0.500
Pu: 0.250 0.250 0.250



Record 5
## LaErGa4 (PBE)

Data for crystalline LaErGa4 at its relaxed geometry.

Properties
The total energy comes out at -99.8 eV/cell.

Lattice parameters (Å, degrees): 4.232 18.759 6.679 90.00 90.00 90.00
Space group Cmcm (No. 63)
One atom of each set of equivalent atoms:
La: 0.000 0.092 0.250
Er: 0.000 0.235 0.750
Ga: 0.000 0.074 0.750
Ga: 0.000 0.351 0.053
Ga: 0.000 0.500 0.000



Record 6
## AlAu (PBE)

Data for crystalline AlAu at its relaxed geometry.

Properties
The total energy comes out at -30.1 eV/cell.

Lattice parameters (Å, degrees): 5.331 5.331 5.331 90.00 90.00 90.00
Space group Fm-3m (No. 225)
One atom of each set of equivalent atoms:
Al: 0.000 0.000 0.000
Au: 0.000 0.000 0.500